Compound: Ba2ZnAsO6
Source: the Alexandria database
Functional: GGA-PBE
Structure: relaxed Values from VASP.

```
&SYSTEM
  ibrav = 0, nat = 20, ntyp = 4
/
ATOMIC_SPECIES
Ba 137.33 Ba.upf
Zn 65.41 Zn.upf
As 74.92 As.upf
O 16.00 O.upf
CELL_PARAMETERS angstrom
5.780 0.000 0.000
2.890 5.006 0.000
2.890 1.669 9.733
ATOMIC_POSITIONS crystal
Ba 0.877 0.877 0.368
Ba 0.123 0.123 0.632
Ba 0.709 0.709 0.872
Ba 0.291 0.291 0.128
Zn 0.000 0.000 0.000
Zn 0.500 0.500 0.500
As 0.591 0.591 0.228
As 0.409 0.409 0.772
O 0.843 0.401 0.355
O 0.401 0.843 0.355
O 0.401 0.401 0.355
O 0.157 0.599 0.645
O 0.599 0.157 0.645
O 0.599 0.599 0.645
O 0.689 0.219 0.872
O 0.219 0.689 0.872
O 0.219 0.219 0.872
O 0.311 0.781 0.128
O 0.781 0.311 0.128
O 0.781 0.781 0.128
```

Electronic total energy, eV for the cell shown: -116.017
Magnetic moment, μB/cell: 2.1
Fermi-level density of states, states/eV per cell: 9.18


Compound: Ba2ZnAs2O6
Source: the Alexandria database
Functional: GGA-PBE
Structure: relaxed Values from VASP.

```
&SYSTEM
  ibrav = 0, nat = 11, ntyp = 4
/
ATOMIC_SPECIES
Ba 137.33 Ba.upf
Zn 65.41 Zn.upf
As 74.92 As.upf
O 16.00 O.upf
CELL_PARAMETERS angstrom
-2.561 -1.412 5.317
2.342 -4.439 3.411
3.214 1.757 5.477
ATOMIC_POSITIONS crystal
Ba 0.780 0.780 0.659
Ba 0.220 0.220 0.341
Zn 0.000 0.000 0.000
As 0.425 0.425 0.724
As 0.575 0.575 0.276
O 0.759 0.759 0.254
O 0.228 0.759 0.254
O 0.759 0.228 0.254
O 0.241 0.772 0.746
O 0.772 0.241 0.746
O 0.241 0.241 0.746
```

Electronic total energy, eV for the cell shown: -61.564
Magnetic moment, μB/cell: 1.2
Fermi-level density of states, states/eV per cell: 3.77


Compound: BaZn2As2O8
Source: the Alexandria database
Functional: GGA-PBE
Structure: relaxed Values from VASP.

```
&SYSTEM
  ibrav = 0, nat = 52, ntyp = 4
/
ATOMIC_SPECIES
Ba 137.33 Ba.upf
Zn 65.41 Zn.upf
As 74.92 As.upf
O 16.00 O.upf
CELL_PARAMETERS angstrom
-6.653 -4.625 -3.816
-0.743 -5.069 8.094
-6.758 6.747 3.605
ATOMIC_POSITIONS crystal
Ba 0.746 0.608 0.084
Ba 0.254 0.892 0.584
Ba 0.254 0.392 0.916
Ba 0.746 0.108 0.416
Zn 0.423 0.441 0.314
Zn 0.577 0.059 0.814
Zn 0.577 0.559 0.686
Zn 0.423 0.941 0.186
Zn 0.930 0.216 0.077
Zn 0.070 0.284 0.577
Zn 0.070 0.784 0.923
Zn 0.930 0.716 0.423
As 0.438 0.258 0.585
As 0.562 0.242 0.085
As 0.562 0.742 0.415
As 0.438 0.758 0.915
As 0.945 0.069 0.798
As 0.055 0.431 0.298
As 0.055 0.931 0.202
As 0.945 0.569 0.702
O 0.260 0.183 0.577
O 0.740 0.317 0.077
O 0.740 0.817 0.423
O 0.260 0.683 0.923
O 0.221 0.495 0.358
O 0.779 0.005 0.858
O 0.779 0.505 0.642
O 0.221 0.995 0.142
O 0.563 0.608 0.304
O 0.437 0.892 0.804
O 0.437 0.392 0.696
O 0.563 0.108 0.196
O 0.924 0.560 0.299
O 0.076 0.940 0.799
O 0.076 0.440 0.701
O 0.924 0.060 0.201
O 0.450 0.379 0.130
O 0.550 0.121 0.630
O 0.550 0.621 0.870
O 0.450 0.879 0.370
O 0.985 0.800 0.100
O 0.015 0.700 0.600
O 0.015 0.200 0.900
O 0.985 0.300 0.400
O 0.512 0.807 0.064
O 0.488 0.693 0.564
O 0.488 0.193 0.936
O 0.512 0.307 0.436
O 0.066 0.874 0.361
O 0.934 0.626 0.861
O 0.934 0.126 0.639
O 0.066 0.374 0.139
```

Electronic total energy, eV for the cell shown: -302.216
Magnetic moment, μB/cell: 0.0
Fermi-level density of states, states/eV per cell: 0.00


Compound: BaZrAsO6
Source: the Alexandria database
Functional: GGA-PBE
Structure: relaxed Values from VASP.

```
&SYSTEM
  ibrav = 0, nat = 18, ntyp = 4
/
ATOMIC_SPECIES
Ba 137.33 Ba.upf
Zr 91.22 Zr.upf
As 74.92 As.upf
O 16.00 O.upf
CELL_PARAMETERS angstrom
-5.395 0.376 -0.099
2.401 -4.734 -1.038
-0.383 -2.604 10.990
ATOMIC_POSITIONS crystal
Ba 0.000 0.000 0.000
Ba 0.000 0.000 0.500
Zr 0.667 0.333 0.250
Zr 0.333 0.667 0.750
As 0.333 0.667 0.250
As 0.667 0.333 0.750
O 0.594 0.629 0.155
O 0.035 0.406 0.155
O 0.406 0.035 0.655
O 0.965 0.594 0.845
O 0.371 0.406 0.345
O 0.035 0.629 0.345
O 0.629 0.035 0.845
O 0.594 0.965 0.345
O 0.965 0.371 0.655
O 0.371 0.965 0.155
O 0.629 0.594 0.655
O 0.406 0.371 0.845
```

Electronic total energy, eV for the cell shown: -128.623
Magnetic moment, μB/cell: 2.1
Fermi-level density of states, states/eV per cell: 11.25


Compound: BaAs2Os
Source: the Alexandria database
Functional: GGA-PBE
Structure: relaxed Values from VASP.

```
&SYSTEM
  ibrav = 0, nat = 4, ntyp = 3
/
ATOMIC_SPECIES
As 74.92 As.upf
Os 190.23 Os.upf
Ba 137.33 Ba.upf
CELL_PARAMETERS angstrom
0.939 -4.785 -0.714
-1.328 -3.306 3.404
-3.698 -3.127 -0.913
ATOMIC_POSITIONS crystal
As 0.250 0.250 0.250
As 0.750 0.750 0.750
Os 0.500 0.500 0.500
Ba 0.000 0.000 0.000
```

Magnetic moment, μB/cell: 0.0
Polymorph energy (0 for the lowest one), meV/atom: 736.5
ΔH_f (0 K), meV per atom: 341
Fermi-level density of states, states/eV per cell: 3.33


Compound: BaAs2Os
Source: the Alexandria database
Functional: GGA-PBE
Structure: relaxed Values from VASP.

```
&SYSTEM
  ibrav = 0, nat = 4, ntyp = 3
/
ATOMIC_SPECIES
As 74.92 As.upf
Os 190.23 Os.upf
Ba 137.33 Ba.upf
CELL_PARAMETERS angstrom
5.398 -0.055 0.000
1.674 5.133 0.000
-3.536 -2.539 3.193
ATOMIC_POSITIONS crystal
As 0.000 0.000 0.000
As 0.250 0.750 0.500
Os 0.750 0.250 0.500
Ba 0.500 0.500 0.000
```

Magnetic moment, μB/cell: 0.0
Polymorph energy (0 for the lowest one), meV/atom: 1134.3
ΔH_f (0 K), meV per atom: 739
Fermi-level density of states, states/eV per cell: 4.18